Here is a relaxed LaIrSe2 crystal from the Alexandria database. Energies are from PBE-GGA.

magnetic moment: 0.000 μB per atom
polymorph energy (0 for the lowest one): 590 meV per atom
space group: R-3m (166)
E: -5.5741 eV per atom
formation energy without anion corrections: -0.3848 eV/atom

a = 8.7048 Å, b = 8.7048 Å, c = 8.7048 Å
α = 25.50°, β = 25.50°, γ = 25.50°
Last column: nearest neighbours and their distance in Å.
Fractional positions:
1 Se 0.8815 0.8815 0.8815  3 Ir 2.53
2 Se 0.1185 0.1185 0.1185  3 Ir 2.53
3 La 0.0000 0.0000 0.0000  2 Se 2.99
4 Ir 0.5000 0.5000 0.5000  6 Se 2.53


Here is a relaxed LaIrSe2 crystal from the Alexandria database. Energies are from PBE-GGA.

magnetic moment: 0.000 μB per atom
polymorph energy (0 for the lowest one): 767 meV per atom
space group: F-43m (216)
E: -5.3973 eV per atom
formation energy without anion corrections: -0.2079 eV/atom

a = 4.9680 Å, b = 4.9680 Å, c = 4.9680 Å
α = 60.00°, β = 60.00°, γ = 60.00°
Last column: nearest neighbours and their distance in Å.
Fractional positions:
1 Se 0.0000 0.0000 0.0000  4 La 3.04, 4 Se 3.04
2 Se 0.2500 0.2500 0.2500  4 Se 3.04, 4 Ir 3.04
3 La 0.7500 0.7500 0.7500  4 Se 3.04, 4 Ir 3.04
4 Ir 0.5000 0.5000 0.5000  4 La 3.04, 4 Se 3.04


Here is a relaxed LaIrSe2 crystal from the Alexandria database. Energies are from PBE-GGA.

magnetic moment: 0.000 μB per atom
polymorph energy (0 for the lowest one): 197 meV per atom
space group: R3m (160)
E: -5.9672 eV per atom
formation energy without anion corrections: -0.7778 eV/atom

a = 6.5497 Å, b = 6.5497 Å, c = 6.5497 Å
α = 36.68°, β = 36.68°, γ = 36.68°
Last column: nearest neighbours and their distance in Å.
Fractional positions:
1 Ir 0.5742 0.5742 0.5742  6 Se 2.55-2.74
2 Se 0.9816 0.9816 0.9816  3 Ir 2.74, 3 La 3.06
3 Se 0.1912 0.1912 0.1912  3 Ir 2.55
4 La 0.7530 0.7530 0.7530  6 Se 3.06, 1 Ir 3.27


Here is a relaxed La6IrSe5 crystal from the Alexandria database. Energies are from PBE-GGA.

magnetic moment: 0.000 μB per atom
space group: C2/m (12)
E: -6.4502 eV per atom
formation energy without anion corrections: -1.7962 eV/atom

a = 7.4595 Å, b = 7.5020 Å, c = 7.4787 Å
α = 59.90°, β = 80.35°, γ = 70.47°
Last column: nearest neighbours and their distance in Å.
Fractional positions:
1 La 0.7564 0.7611 0.0000  1 Ir 2.95, 5 Se 3.06-3.16
2 La 0.2402 0.9204 0.6802  1 Ir 2.93, 5 Se 3.05-3.11
3 La 0.2436 0.2389 0.0000  1 Ir 2.95, 5 Se 3.06-3.16
4 La 0.7598 0.3994 0.6802  1 Ir 2.93, 5 Se 3.05-3.11
5 La 0.2402 0.6006 0.3198  1 Ir 2.93, 5 Se 3.05-3.11
6 La 0.7598 0.0796 0.3198  1 Ir 2.93, 5 Se 3.05-3.11
7 Se 0.5000 0.8266 0.3468  6 La 3.06-3.11
8 Se 0.5000 0.1734 0.6532  6 La 3.06-3.11
9 Se 0.0000 0.6659 0.6683  6 La 3.06
10 Se 0.5000 0.5000 0.0000  6 La 3.05-3.16
11 Se 0.0000 0.3341 0.3317  6 La 3.06
12 Ir 0.0000 0.0000 0.0000  6 La 2.93-2.95


Here is a relaxed LaIrSe crystal from the Alexandria database. Energies are from PBE-GGA.

magnetic moment: 0.000 μB per atom
polymorph energy (0 for the lowest one): 0 meV per atom
space group: P3m1 (156)
E: -6.8294 eV per atom
formation energy without anion corrections: -1.0718 eV/atom

a = 4.3809 Å, b = 4.3809 Å, c = 3.9644 Å
α = 90.00°, β = 90.00°, γ = 120.00°
Last column: nearest neighbours and their distance in Å.
Fractional positions:
1 Se 0.3333 0.6667 0.8124  3 Ir 2.54
2 Ir 0.0000 0.0000 0.8604  3 Se 2.54
3 La 0.6667 0.3333 0.3271  6 Ir 3.13-3.30, 6 Se 3.18-3.25


Here is a relaxed La2IrSe crystal from the Alexandria database. Energies are from PBE-GGA.

magnetic moment: 0.000 μB per atom
polymorph energy (0 for the lowest one): 386 meV per atom
space group: I-4m2 (119)
E: -6.5251 eV per atom
formation energy without anion corrections: -0.9750 eV/atom

a = 6.3835 Å, b = 6.3835 Å, c = 6.3835 Å
α = 141.75°, β = 141.75°, γ = 55.21°
Last column: nearest neighbours and their distance in Å.
Fractional positions:
1 La 0.2500 0.7500 0.5000  4 Ir 2.96
2 La 0.0000 0.0000 0.0000  4 Se 2.96
3 Se 0.5000 0.5000 0.0000  4 La 2.96
4 Ir 0.7500 0.2500 0.5000  4 La 2.96


Here is a relaxed La2IrSe crystal from the Alexandria database. Energies are from PBE-GGA.

magnetic moment: 0.000 μB per atom
polymorph energy (0 for the lowest one): 81 meV per atom
space group: R3m (160)
E: -6.8303 eV per atom
formation energy without anion corrections: -1.2802 eV/atom

a = 4.1764 Å, b = 4.1764 Å, c = 7.8706 Å
α = 74.61°, β = 74.61°, γ = 60.00°
Last column: nearest neighbours and their distance in Å.
Fractional positions:
1 Se 0.4995 0.4995 0.5016  6 La 3.18-3.20
2 La 0.0737 0.0737 0.7790  3 Ir 2.92, 3 Se 3.18
3 La 0.2598 0.2598 0.2205  3 Ir 2.93, 3 Se 3.20
4 Ir 0.6670 0.6670 0.9989  6 La 2.92-2.93


Here is a relaxed LaIr3Se crystal from the Alexandria database. Energies are from PBE-GGA.

magnetic moment: 0.233 μB per atom
polymorph energy (0 for the lowest one): 1811 meV per atom
space group: Pm-3m (221)
E: -4.9057 eV per atom
formation energy without anion corrections: 2.0933 eV/atom

a = 4.9828 Å, b = 4.9828 Å, c = 4.9828 Å
α = 90.00°, β = 90.00°, γ = 90.00°
Last column: nearest neighbours and their distance in Å.
Fractional positions:
1 Ir 0.5000 0.0000 0.0000  2 La 2.49
2 Ir 0.0000 0.5000 0.0000  2 La 2.49
3 Ir 0.0000 0.0000 0.5000  2 La 2.49
4 Se 0.5000 0.5000 0.5000  12 Ir 3.52
5 La 0.0000 0.0000 0.0000  6 Ir 2.49


Here is a relaxed LaIrSe2 crystal from the Alexandria database. Energies are from PBE-GGA.

magnetic moment: 0.000 μB per atom
polymorph energy (0 for the lowest one): 187 meV per atom
space group: R-3m (166)
E: -5.9770 eV per atom
formation energy without anion corrections: -0.7876 eV/atom

a = 5.8322 Å, b = 5.8322 Å, c = 5.8322 Å
α = 44.05°, β = 44.05°, γ = 44.05°
Last column: nearest neighbours and their distance in Å.
Fractional positions:
1 Se 0.9757 0.9757 0.9757  3 Ir 2.69
2 Se 0.5243 0.5243 0.5243  3 Ir 2.69
3 La 0.7500 0.7500 0.7500  6 Se 3.04
4 Ir 0.2500 0.2500 0.2500  6 Se 2.69


Here is a relaxed LaIr3Se crystal from the Alexandria database. Energies are from PBE-GGA.

magnetic moment: 0.000 μB per atom
polymorph energy (0 for the lowest one): 0 meV per atom
space group: Pm-3m (221)
E: -6.7163 eV per atom
formation energy without anion corrections: 0.2827 eV/atom

a = 4.7055 Å, b = 4.7055 Å, c = 4.7055 Å
α = 90.00°, β = 90.00°, γ = 90.00°
Last column: nearest neighbours and their distance in Å.
Fractional positions:
1 Ir 0.0000 0.5000 0.0000  2 Se 2.35
2 Ir 0.5000 0.0000 0.0000  2 Se 2.35
3 Ir 0.0000 0.0000 0.5000  2 Se 2.35
4 Se 0.0000 0.0000 0.0000  6 Ir 2.35
5 La 0.5000 0.5000 0.5000  12 Ir 3.33


Here is a relaxed LaIr4Se crystal from the Alexandria database. Energies are from PBE-GGA.

magnetic moment: 0.000 μB per atom
space group: F-43m (216)
E: -7.3105 eV per atom
formation energy without anion corrections: -0.0012 eV/atom

a = 5.3850 Å, b = 5.3850 Å, c = 5.3850 Å
α = 60.00°, β = 60.00°, γ = 60.00°
Last column: nearest neighbours and their distance in Å.
Fractional positions:
1 Ir 0.3751 0.3751 0.8748  6 Ir 2.69
2 Ir 0.8748 0.3751 0.3751  6 Ir 2.69
3 Ir 0.3751 0.8748 0.3751  6 Ir 2.69
4 Ir 0.3751 0.3751 0.3751  6 Ir 2.69
5 La 0.7500 0.7500 0.7500  12 Ir 3.16, 4 Se 3.30
6 Se 0.0000 0.0000 0.0000  12 Ir 3.16, 4 La 3.30


Here is a relaxed LaIrSe2 crystal from the Alexandria database. Energies are from PBE-GGA.

magnetic moment: 0.000 μB per atom
polymorph energy (0 for the lowest one): 0 meV per atom
space group: Immm (71)
E: -6.1639 eV per atom
formation energy without anion corrections: -0.9745 eV/atom

a = 5.7435 Å, b = 5.7435 Å, c = 5.1596 Å
α = 63.34°, β = 63.34°, γ = 39.19°
Last column: nearest neighbours and their distance in Å.
Fractional positions:
1 Ir 0.7500 0.7500 0.7500  4 Se 2.52
2 Se 0.4213 0.4213 0.5790  2 Ir 2.52
3 Se 0.0787 0.0787 0.9210  2 Ir 2.52
4 La 0.2500 0.2500 0.2500  4 Se 3.05, 4 Ir 3.22


Here is a relaxed LaSi2IrSe crystal from the Alexandria database. Energies are from PBE-GGA.

magnetic moment: 0.310 μB per atom
space group: P4/mmm (123)
E: -3.8629 eV per atom
formation energy without anion corrections: 1.7609 eV/atom

a = 5.4843 Å, b = 5.4538 Å, c = 5.4843 Å
α = 90.00°, β = 90.00°, γ = 90.00°
Last column: nearest neighbours and their distance in Å.
Fractional positions:
1 La 0.0000 0.0000 0.0000  2 Se 2.73, 4 Si 2.74
2 Ir 0.5000 0.5000 0.5000  8 Si 3.87, 4 Se 3.88
3 Si 0.0000 0.0000 0.5000  2 La 2.74
4 Si 0.5000 0.0000 0.0000  2 La 2.74
5 Se 0.0000 0.5000 0.0000  2 La 2.73


Here is a relaxed LaSiIrSe2 crystal from the Alexandria database. Energies are from PBE-GGA.

magnetic moment: 0.197 μB per atom
space group: P4/mmm (123)
E: -4.7579 eV per atom
formation energy without anion corrections: 0.4782 eV/atom

a = 4.6402 Å, b = 5.9123 Å, c = 4.6402 Å
α = 90.00°, β = 90.00°, γ = 90.00°
Last column: nearest neighbours and their distance in Å.
Fractional positions:
1 Ir 0.5000 0.5000 0.5000  4 La 3.28
2 Se 0.0000 0.0000 0.5000  2 Si 2.32
3 Se 0.5000 0.0000 0.0000  2 Si 2.32
4 La 0.0000 0.5000 0.0000  2 Si 2.96, 4 Ir 3.28
5 Si 0.0000 0.0000 0.0000  4 Se 2.32


Here is a relaxed La2TaIrSe crystal from the Alexandria database. Energies are from PBE-GGA.

magnetic moment: 0.000 μB per atom
polymorph energy (0 for the lowest one): 0 meV per atom
space group: P4/mmm (123)
E: -6.6832 eV per atom
formation energy without anion corrections: 0.1274 eV/atom

a = 5.7299 Å, b = 4.6418 Å, c = 5.7299 Å
α = 90.00°, β = 90.00°, γ = 90.00°
Last column: nearest neighbours and their distance in Å.
Fractional positions:
1 Se 0.5000 0.5000 0.5000  8 La 3.69, 4 Ir 4.05
2 Ta 0.0000 0.0000 0.0000  2 Ir 2.32
3 Ir 0.0000 0.5000 0.0000  2 Ta 2.32
4 La 0.0000 0.0000 0.5000  2 Ta 2.86
5 La 0.5000 0.0000 0.0000  2 Ta 2.86


Here is a relaxed La2TaIrSe crystal from the Alexandria database. Energies are from PBE-GGA.

magnetic moment: 0.137 μB per atom
polymorph energy (0 for the lowest one): 166 meV per atom
space group: P4/mmm (123)
E: -6.5172 eV per atom
formation energy without anion corrections: 0.2934 eV/atom

a = 5.5478 Å, b = 5.5478 Å, c = 4.6731 Å
α = 90.00°, β = 90.00°, γ = 90.00°
Last column: nearest neighbours and their distance in Å.
Fractional positions:
1 Ta 0.0000 0.0000 0.5000  2 Se 2.34
2 Se 0.0000 0.0000 0.0000  2 Ta 2.34
3 La 0.5000 0.0000 0.0000  2 Se 2.77
4 La 0.0000 0.5000 0.0000  2 Se 2.77
5 Ir 0.5000 0.5000 0.5000  8 La 3.63, 4 Ta 3.92


Here is a relaxed La4TeIrSe2 crystal from the Alexandria database. Energies are from PBE-GGA.

magnetic moment: 0.000 μB per atom
space group: P2/m (10)
E: -6.3769 eV per atom
formation energy without anion corrections: -1.5417 eV/atom

a = 4.2943 Å, b = 7.6036 Å, c = 7.7423 Å
α = 71.04°, β = 90.00°, γ = 90.00°
Last column: nearest neighbours and their distance in Å.
Fractional positions:
1 Ir 0.0000 0.5000 0.5000  6 La 2.93-3.06
2 Se 0.0000 0.0000 0.0000  6 La 3.19-3.27
3 Se 0.5000 0.0000 0.5000  6 La 3.02-3.06
4 Te 0.5000 0.5000 0.0000  6 La 3.18-3.20
5 La 0.0000 0.2430 0.2676  3 Se 3.02-3.19, 1 Ir 3.06, 2 Te 3.18
6 La 0.5000 0.7291 0.2808  2 Ir 2.93, 3 Se 3.06-3.27, 1 Te 3.20
7 La 0.0000 0.7570 0.7324  3 Se 3.02-3.19, 1 Ir 3.06, 2 Te 3.18
8 La 0.5000 0.2709 0.7191  2 Ir 2.93, 3 Se 3.06-3.27, 1 Te 3.20


Here is a relaxed La4Te2IrSe crystal from the Alexandria database. Energies are from PBE-GGA.

magnetic moment: 0.000 μB per atom
space group: P2/m (10)
E: -6.2766 eV per atom
formation energy without anion corrections: -1.4843 eV/atom

a = 4.3321 Å, b = 7.7097 Å, c = 7.8788 Å
α = 108.39°, β = 90.00°, γ = 90.00°
Last column: nearest neighbours and their distance in Å.
Fractional positions:
1 La 0.0000 0.2786 0.7886  2 Ir 2.93, 1 Se 3.11, 1 Te 3.25
2 La 0.0000 0.7214 0.2114  2 Ir 2.93, 1 Se 3.11, 1 Te 3.25
3 La 0.5000 0.2527 0.2242  1 Ir 2.98, 2 Se 3.07, 2 Te 3.23
4 La 0.5000 0.7473 0.7758  1 Ir 2.98, 2 Se 3.07, 2 Te 3.23
5 Te 0.0000 0.5000 0.5000  6 La 3.23-3.25
6 Te 0.5000 0.0000 0.5000  6 La 3.34-3.38
7 Se 0.0000 0.0000 0.0000  6 La 3.07-3.11
8 Ir 0.5000 0.5000 0.0000  6 La 2.93-2.98


Here is a relaxed LaTlIrSe2 crystal from the Alexandria database. Energies are from PBE-GGA.

magnetic moment: 0.000 μB per atom
space group: P4/mmm (123)
E: -4.8894 eV per atom
formation energy without anion corrections: -0.2646 eV/atom

a = 5.1219 Å, b = 5.0312 Å, c = 5.1219 Å
α = 90.00°, β = 90.00°, γ = 90.00°
Last column: nearest neighbours and their distance in Å.
Fractional positions:
1 Tl 0.0000 0.5000 0.0000  2 Ir 2.52
2 Se 0.0000 0.0000 0.5000  2 Ir 2.56
3 Se 0.5000 0.0000 0.0000  2 Ir 2.56
4 La 0.5000 0.5000 0.5000  8 Se 3.59, 4 Tl 3.62
5 Ir 0.0000 0.0000 0.0000  2 Tl 2.52, 4 Se 2.56


Here is a relaxed LaSi2Ir2 crystal from the Alexandria database. Energies are from PBE-GGA.

magnetic moment: 0.000 μB per atom
space group: P4/mbm (127)
E: -7.1097 eV per atom
formation energy without anion corrections: -0.4106 eV/atom

a = 7.6685 Å, b = 7.6685 Å, c = 2.8586 Å
α = 90.00°, β = 90.00°, γ = 90.00°
Last column: nearest neighbours and their distance in Å.
Fractional positions:
1 Ir 0.3622 0.1378 0.5000  6 Si 2.56-2.81, 2 Ir 2.86
2 Ir 0.8622 0.3622 0.5000  6 Si 2.56-2.81, 2 Ir 2.86
3 Ir 0.1378 0.6378 0.5000  6 Si 2.56-2.81, 2 Ir 2.86
4 Ir 0.6378 0.8622 0.5000  6 Si 2.56-2.81, 2 Ir 2.86
5 La 0.0000 0.0000 0.0000  2 La 2.86, 4 Si 2.97
6 La 0.5000 0.5000 0.0000  2 La 2.86, 4 Si 2.97
7 Si 0.6388 0.1388 0.0000  6 Ir 2.56-2.81, 2 Si 2.86
8 Si 0.3612 0.8612 0.0000  6 Ir 2.56-2.81, 2 Si 2.86
9 Si 0.1388 0.3612 0.0000  6 Ir 2.56-2.81, 2 Si 2.86
10 Si 0.8612 0.6388 0.0000  6 Ir 2.56-2.81, 2 Si 2.86